! BaNbOF2, relaxed, DFT PBE-GGA; values from VASP
! **Space group**: No. 123
! **Uncorrected formation energy**: -2279 meV/atom
! **Relative energy among the computed polymorphs**: 0.000 eV/atom
&SYSTEM
  ibrav = 0, nat = 5, ntyp = 4
/
ATOMIC_SPECIES
Nb 92.91 Nb.upf
Ba 137.33 Ba.upf
O 16.00 O.upf
F 19.00 F.upf
CELL_PARAMETERS angstrom
4.503 0.000 0.000
0.000 4.503 0.000
0.000 0.000 4.116
ATOMIC_POSITIONS angstrom
Nb 0.000 0.000 0.000
Ba 2.251 2.251 2.058
O 0.000 0.000 2.058
F 0.000 2.251 0.000
F 2.251 0.000 0.000

! BaNbOF2, relaxed, DFT PBE-GGA; values from VASP
! **Space group**: No. 123
! **Uncorrected formation energy**: -1000 meV/atom
! **Relative energy among the computed polymorphs**: 1.279 eV/atom
&SYSTEM
  ibrav = 0, nat = 5, ntyp = 4
/
ATOMIC_SPECIES
Nb 92.91 Nb.upf
Ba 137.33 Ba.upf
O 16.00 O.upf
F 19.00 F.upf
CELL_PARAMETERS angstrom
-2.383 -3.347 2.604
4.171 -1.310 2.134
-0.810 3.461 3.707
ATOMIC_POSITIONS angstrom
Nb 0.489 -0.598 4.222
Ba 0.000 0.000 0.000
O -0.405 1.730 1.853
F 2.085 -0.655 1.067
F -1.192 -1.674 1.302

! Ba2NbO4F, relaxed, DFT PBE-GGA; values from VASP
! **Space group**: No. 12
! **Uncorrected formation energy**: -2770 meV/atom
&SYSTEM
  ibrav = 0, nat = 8, ntyp = 4
/
ATOMIC_SPECIES
Ba 137.33 Ba.upf
Nb 92.91 Nb.upf
O 16.00 O.upf
F 19.00 F.upf
CELL_PARAMETERS angstrom
3.398 0.000 0.000
1.699 5.698 0.499
1.699 1.858 6.920
ATOMIC_POSITIONS angstrom
Ba 5.098 5.118 5.141
Ba 1.699 2.438 2.278
Nb 0.000 0.000 0.000
O 1.699 1.396 5.024
O 3.398 3.169 6.684
O 5.098 6.160 2.395
O 3.398 4.386 0.735
F 3.398 3.778 3.710

! Ba4NbP4O18F2, relaxed, DFT PBE-GGA; values from VASP
! **Space group**: No. 2
! **Uncorrected formation energy**: -2339 meV/atom
&SYSTEM
  ibrav = 0, nat = 29, ntyp = 5
/
ATOMIC_SPECIES
Ba 137.33 Ba.upf
Nb 92.91 Nb.upf
P 30.97 P.upf
O 16.00 O.upf
F 19.00 F.upf
CELL_PARAMETERS angstrom
-7.149 0.621 -0.325
-1.425 -2.047 7.434
-0.583 8.198 1.825
ATOMIC_POSITIONS angstrom
Ba -4.830 6.284 1.895
Ba -5.627 2.092 3.065
Ba -3.530 4.680 5.869
Ba -4.327 0.488 7.038
Nb 0.000 0.000 0.000
P -6.966 6.581 6.343
P -7.866 1.938 6.590
P -1.291 4.834 2.343
P -2.190 0.191 2.591
O -7.146 6.649 4.797
O -1.537 -0.008 7.095
O -8.382 6.443 7.025
O -1.693 2.515 6.993
O -5.386 0.791 0.359
O -5.753 -0.237 4.798
O -6.680 1.981 7.546
O -6.064 5.432 6.803
O -7.435 2.084 5.102
O -1.722 4.688 3.832
O -3.093 1.340 2.131
O -2.477 4.791 1.387
O -3.404 7.009 4.136
O -3.771 5.981 8.574
O -7.464 4.257 1.940
O -0.775 0.329 1.908
O -7.620 6.780 1.839
O -2.011 0.122 4.137
F -4.849 4.451 3.609
F -4.308 2.321 5.325

! BaNb2ReF, relaxed, DFT PBE-GGA; values from VASP
! **Space group**: No. 123
! **Uncorrected formation energy**: 670 meV/atom
&SYSTEM
  ibrav = 0, nat = 5, ntyp = 4
/
ATOMIC_SPECIES
Re 186.21 Re.upf
Nb 92.91 Nb.upf
Ba 137.33 Ba.upf
F 19.00 F.upf
CELL_PARAMETERS angstrom
4.386 0.000 0.000
0.000 5.069 0.000
0.000 0.000 4.386
ATOMIC_POSITIONS angstrom
Re 2.193 2.535 2.193
Nb 0.000 0.000 2.193
Nb 2.193 0.000 0.000
Ba 0.000 2.535 0.000
F 0.000 0.000 0.000

! BaNbSe2F, relaxed, DFT PBE-GGA; values from VASP
! **Space group**: No. 123
! **Uncorrected formation energy**: -1671 meV/atom
&SYSTEM
  ibrav = 0, nat = 5, ntyp = 4
/
ATOMIC_SPECIES
Nb 92.91 Nb.upf
Ba 137.33 Ba.upf
Se 78.96 Se.upf
F 19.00 F.upf
CELL_PARAMETERS angstrom
-4.913 1.772 -0.340
-0.990 -1.825 4.804
1.253 3.802 1.702
ATOMIC_POSITIONS angstrom
Nb 0.000 0.000 0.000
Ba -2.325 1.874 3.083
Se -0.495 -0.912 2.402
Se -2.456 0.886 -0.170
F 0.627 1.901 0.851

Per-record N(E_F), states/eV per atom: 0.75; 0.63; 0.00; 0.22; 1.40; 0.30